Entry from Alexandria: crystalline SmPuFeOs at its relaxed geometry (PBE).

```
4
Lattice="4.8376 0.0000 0.0000 2.4188 4.1895 0.0000 2.4188 1.3965 3.9499" Properties=species:S:1:pos:R:3 pbc="T T T"
Fe 2.4188 1.3965 0.9875
Sm 4.8376 2.7930 1.9749
Os 7.2564 4.1895 2.9624
Pu 0.0000 0.0000 0.0000
```

energy of formation	0.30	eV/f.u.
DOS(E_F)	1.226	states/eV per atom
total magnetization	2.5	μB/f.u.